Entry 1:
Compound: SmCdAu
Source: Alexandria
Functional: SCAN
Structure: single point on PBEsol structure

a = 3.960 Å, b = 7.701 Å, c = 7.701 Å
α = 120.00°, β = 90.00°, γ = 90.00°
Fractional positions:
Cd  0.500  0.258  0.258
Cd  0.500  0.742  0.000
Cd  0.500  0.000  0.742
Sm  0.000  0.404  0.000
Sm  0.000  0.596  0.596
Sm  0.000  0.000  0.404
Au  0.000  0.000  0.000
Au  0.500  0.333  0.667
Au  0.500  0.667  0.333

Results
Calculated formation energy: -0.841 eV/atom
Magnetic moment: 0.00 Bohr magnetons per cell
Final energy: -48.8460 eV/atom

---

Entry 2:
Compound: Ag2HgPt
Source: Alexandria
Functional: SCAN
Structure: single point on PBEsol structure

a = 2.911 Å, b = 4.941 Å, c = 4.997 Å
α = 99.64°, β = 90.00°, γ = 107.13°
Fractional positions:
Ag  0.003  0.006  0.997
Ag  0.252  0.503  0.760
Hg  0.497  0.993  0.491
Pt  0.749  0.497  0.252

Results
Calculated formation energy: 0.031 eV/atom
Magnetic moment: 0.00 Bohr magnetons per cell
Final energy: -50.2420 eV/atom

---

Entry 3:
Compound: LaAlOs3
Source: Alexandria
Functional: SCAN
Structure: single point on PBEsol structure

a = 4.775 Å, b = 4.775 Å, c = 4.775 Å
α = 90.00°, β = 90.00°, γ = 90.00°
Fractional positions:
Al  0.500  0.500  0.500
Os  0.000  0.000  0.500
Os  0.000  0.500  0.000
Os  0.500  0.000  0.000
La  0.000  0.000  0.000

Results
Calculated formation energy: 2.910 eV/atom
Magnetic moment: 0.00 Bohr magnetons per cell
Final energy: -50.3895 eV/atom

---

Entry 4:
Compound: Li2TmTl
Source: Alexandria
Functional: SCAN
Structure: single point on PBEsol structure

a = 4.732 Å, b = 4.732 Å, c = 4.732 Å
α = 60.00°, β = 60.00°, γ = 60.00°
Fractional positions:
Li  0.750  0.750  0.750
Li  0.250  0.250  0.250
Tl  0.500  0.500  0.500
Tm  0.000  0.000  0.000

Results
Calculated formation energy: -0.347 eV/atom
Magnetic moment: 0.00 Bohr magnetons per cell
Final energy: -32.5898 eV/atom

---

Entry 5:
Compound: FeTcW2
Source: Alexandria
Functional: SCAN
Structure: single point on PBEsol structure

a = 3.770 Å, b = 3.770 Å, c = 4.765 Å
α = 113.30°, β = 113.30°, γ = 90.00°
Fractional positions:
Fe  0.500  0.500  0.000
W  0.000  0.000  0.000
W  0.750  0.250  0.500
Tc  0.250  0.750  0.500

Results
Calculated formation energy: 0.284 eV/atom
Offset from the most stable computed form: 0.211 eV/atom
Magnetic moment: 1.67 Bohr magnetons per cell
Final energy: -47.8577 eV/atom

---

Entry 6:
Compound: AlTlOs2
Source: Alexandria
Functional: SCAN
Structure: single point on PBEsol structure

a = 3.050 Å, b = 3.050 Å, c = 6.649 Å
α = 90.00°, β = 90.00°, γ = 90.00°
Fractional positions:
Al  0.500  0.500  0.500
Os  0.000  0.000  0.286
Os  0.000  0.000  0.714
Tl  0.500  0.500  0.000

Results
Calculated formation energy: 0.415 eV/atom
Offset from the most stable computed form: 0.000 eV/atom
Magnetic moment: 0.00 Bohr magnetons per cell
Final energy: -55.5522 eV/atom

---

Entry 7:
Compound: CsSbTe2Cl
Source: Alexandria
Functional: SCAN
Structure: single point on PBEsol structure

a = 7.476 Å, b = 7.225 Å, c = 7.225 Å
α = 90.00°, β = 90.00°, γ = 90.00°
Fractional positions:
Cl  0.500  0.500  0.500
Sb  0.500  0.000  0.000
Cs  0.000  0.000  0.000
Te  0.000  0.000  0.500
Te  0.000  0.500  0.000

Results
Uncorrected formation energy: 1.00 eV/atom
Magnetic moment: 7.11 Bohr magnetons per cell
Final energy: -30.5080 eV/atom

---

Entry 8:
Compound: NbPRh3
Source: Alexandria
Functional: SCAN
Structure: single point on PBEsol structure

a = 4.632 Å, b = 4.632 Å, c = 4.632 Å
α = 90.00°, β = 90.00°, γ = 90.00°
Fractional positions:
Rh  0.500  0.000  0.000
Rh  0.000  0.000  0.500
Rh  0.000  0.500  0.000
Nb  0.000  0.000  0.000
P  0.500  0.500  0.500

Results
Calculated formation energy: 1.378 eV/atom
Magnetic moment: 0.00 Bohr magnetons per cell
Final energy: -27.5901 eV/atom

---

Entry 9:
Compound: Li5Mg
Source: Alexandria
Functional: SCAN
Structure: single point on PBEsol structure

a = 3.138 Å, b = 3.138 Å, c = 12.173 Å
α = 90.00°, β = 90.00°, γ = 90.00°
Fractional positions:
Mg  0.500  0.500  0.500
Li  0.000  0.000  0.669
Li  0.500  0.500  0.833
Li  0.500  0.500  0.167
Li  0.000  0.000  0.331
Li  0.000  0.000  0.000

Results
Calculated formation energy: -0.024 eV/atom
Offset from the most stable computed form: 0.000 eV/atom
Magnetic moment: 0.11 Bohr magnetons per cell
Final energy: -2.8449 eV/atom

---

Entry 10:
Compound: TcAgN2F
Source: Alexandria
Functional: SCAN
Structure: single point on PBEsol structure

a = 4.003 Å, b = 4.003 Å, c = 3.962 Å
α = 90.00°, β = 90.00°, γ = 90.00°
Fractional positions:
F  0.000  0.000  0.500
N  0.000  0.500  0.000
N  0.500  0.000  0.000
Tc  0.500  0.500  0.500
Ag  0.000  0.000  0.000

Results
Uncorrected formation energy: 1.47 eV/atom
Magnetic moment: 3.15 Bohr magnetons per cell
Final energy: -16.2448 eV/atom

---

Entry 11:
Compound: MnZn2Fe
Source: Alexandria
Functional: SCAN
Structure: single point on PBEsol structure

a = 2.606 Å, b = 3.614 Å, c = 5.213 Å
α = 90.00°, β = 90.00°, γ = 90.00°
Fractional positions:
Mn  0.500  0.500  0.500
Zn  0.000  0.000  0.753
Zn  0.000  0.000  0.247
Fe  0.500  0.500  0.000

Results
Calculated formation energy: -0.114 eV/atom
Offset from the most stable computed form: 0.014 eV/atom
Magnetic moment: 5.58 Bohr magnetons per cell
Final energy: -15.9678 eV/atom

---

Entry 12:
Compound: MnCoPCl2
Source: Alexandria
Functional: SCAN
Structure: single point on PBEsol structure

a = 4.873 Å, b = 4.436 Å, c = 4.436 Å
α = 90.00°, β = 90.00°, γ = 90.00°
Fractional positions:
Mn  0.000  0.000  0.000
Cl  0.000  0.500  0.000
Cl  0.000  0.000  0.500
Co  0.500  0.500  0.500
P  0.500  0.000  0.000

Results
Uncorrected formation energy: 0.21 eV/atom
Magnetic moment: 6.54 Bohr magnetons per cell
Final energy: -12.1727 eV/atom

---

Entry 13:
Compound: Li3Mn2F9
Source: Alexandria
Functional: SCAN
Structure: single point on PBEsol structure

a = 5.236 Å, b = 5.243 Å, c = 15.317 Å
α = 90.93°, β = 90.88°, γ = 119.66°
Fractional positions:
F  0.902  0.726  0.596
F  0.683  0.321  0.408
F  0.227  0.405  0.097
F  0.617  0.634  0.948
F  0.820  0.179  0.908
F  0.136  0.119  0.448
F  0.431  0.055  0.054
F  0.655  0.522  0.784
F  0.548  0.399  0.242
F  0.554  0.932  0.554
F  0.215  0.993  0.865
F  0.345  0.787  0.713
F  0.289  0.848  0.214
F  0.496  0.717  0.365
F  0.360  0.325  0.636
F  0.026  0.158  0.283
F  0.896  0.044  0.742
F  0.826  0.862  0.136
Li  0.636  0.828  0.248
Li  0.525  0.758  0.055
Li  0.326  0.134  0.748
Li  0.504  0.227  0.945
Li  0.729  0.006  0.445
Li  0.257  0.025  0.555
Mn  0.610  0.737  0.653
Mn  0.362  0.289  0.352
Mn  0.787  0.859  0.852
Mn  0.238  0.113  0.153

Results
Uncorrected formation energy: -2.91 eV/atom
Magnetic moment: 16.00 Bohr magnetons per cell
Final energy: -8.3056 eV/atom

---

Entry 14:
Compound: ZrNbB4
Source: Alexandria
Functional: SCAN
Structure: single point on PBEsol structure

a = 3.128 Å, b = 3.128 Å, c = 6.801 Å
α = 90.00°, β = 90.00°, γ = 120.00°
Fractional positions:
B  0.333  0.667  0.243
B  0.667  0.333  0.243
B  0.333  0.667  0.757
B  0.667  0.333  0.757
Zr  0.000  0.000  0.500
Nb  0.000  0.000  0.000

Results
Calculated formation energy: -0.890 eV/atom
Magnetic moment: 0.00 Bohr magnetons per cell
Final energy: -16.4811 eV/atom

---

Entry 15:
Compound: KSrAl2
Source: Alexandria
Functional: SCAN
Structure: single point on PBEsol structure

a = 6.167 Å, b = 7.122 Å, c = 7.122 Å
α = 79.20°, β = 64.34°, γ = 64.34°
Fractional positions:
Al  0.375  0.505  0.995
Al  0.120  0.005  0.505
Al  0.630  0.995  0.495
Al  0.875  0.495  0.005
K  0.500  0.000  0.000
K  0.250  0.500  0.500
Sr  0.750  0.500  0.500
Sr  0.000  0.000  0.000

Results
Calculated formation energy: 0.514 eV/atom
Magnetic moment: 0.33 Bohr magnetons per cell
Final energy: -11.0126 eV/atom

---

Entry 16:
Compound: AlAu3
Source: Alexandria
Functional: SCAN
Structure: single point on PBEsol structure

a = 3.289 Å, b = 4.447 Å, c = 5.082 Å
α = 109.57°, β = 108.88°, γ = 90.00°
Fractional positions:
Au  0.500  0.500  0.000
Au  0.275  0.771  0.551
Au  0.725  0.229  0.449
Al  0.000  0.000  0.000

Results
Calculated formation energy: -0.332 eV/atom
Magnetic moment: 0.00 Bohr magnetons per cell
Final energy: -54.1379 eV/atom

---

Entry 17:
Compound: FeOsRh2
Source: Alexandria
Functional: SCAN
Structure: single point on PBEsol structure

a = 2.661 Å, b = 4.237 Å, c = 4.631 Å
α = 90.00°, β = 90.00°, γ = 90.00°
Fractional positions:
Rh  0.000  0.500  0.705
Rh  0.000  0.000  0.044
Fe  0.500  0.000  0.535
Os  0.500  0.500  0.215

Results
Calculated formation energy: -0.029 eV/atom
Offset from the most stable computed form: 0.011 eV/atom
Magnetic moment: 2.99 Bohr magnetons per cell
Final energy: -39.4173 eV/atom

---

Entry 18:
Compound: AgAu2
Source: Alexandria
Functional: SCAN
Structure: single point on PBEsol structure

a = 2.800 Å, b = 4.567 Å, c = 4.567 Å
α = 120.00°, β = 90.00°, γ = 90.00°
Fractional positions:
Au  0.342  0.333  0.667
Au  0.658  0.667  0.333
Ag  0.000  0.000  0.000

Results
Calculated formation energy: -0.042 eV/atom
Offset from the most stable computed form: 0.033 eV/atom
Magnetic moment: 0.00 Bohr magnetons per cell
Final energy: -56.6020 eV/atom

---

Entry 19:
Compound: In2SiNi
Source: Alexandria
Functional: SCAN
Structure: single point on PBEsol structure

a = 4.179 Å, b = 4.179 Å, c = 4.968 Å
α = 114.88°, β = 114.88°, γ = 90.00°
Fractional positions:
In  0.750  0.250  0.500
In  0.250  0.750  0.500
Ni  0.500  0.500  0.000
Si  0.000  0.000  0.000

Results
Uncorrected formation energy: 0.43 eV/atom
Magnetic moment: 0.00 Bohr magnetons per cell
Final energy: -22.8096 eV/atom

---

Entry 20:
Compound: Tl2HgMo
Source: Alexandria
Functional: SCAN
Structure: single point on PBEsol structure

a = 2.956 Å, b = 5.231 Å, c = 5.445 Å
α = 90.00°, β = 90.33°, γ = 90.00°
Fractional positions:
Mo  0.000  0.500  0.500
Tl  0.745  0.000  0.744
Tl  0.255  0.000  0.256
Hg  0.500  0.500  0.000

Results
Calculated formation energy: 0.736 eV/atom
Offset from the most stable computed form: 0.216 eV/atom
Magnetic moment: 0.00 Bohr magnetons per cell
Final energy: -61.2062 eV/atom

---

Entry 21:
Compound: ReTc2W
Source: Alexandria
Functional: SCAN
Structure: single point on PBEsol structure

a = 2.677 Å, b = 2.677 Å, c = 8.650 Å
α = 90.00°, β = 90.00°, γ = 108.74°
Fractional positions:
Re  0.500  0.500  0.247
Tc  0.000  0.000  0.998
Tc  0.500  0.500  0.753
W  0.000  0.000  0.502

Results
Calculated formation energy: 0.146 eV/atom
Offset from the most stable computed form: 0.024 eV/atom
Magnetic moment: 0.00 Bohr magnetons per cell
Final energy: -52.5800 eV/atom

---

Entry 22:
Compound: In2IBr
Source: Alexandria
Functional: SCAN
Structure: single point on PBEsol structure

a = 7.221 Å, b = 7.221 Å, c = 7.221 Å
α = 65.77°, β = 72.86°, γ = 107.14°
Fractional positions:
Br  0.500  0.750  0.750
Br  0.000  0.500  0.500
I  0.500  0.250  0.250
I  0.000  0.000  0.000
In  0.520  0.125  0.855
In  0.480  0.625  0.395
In  0.020  0.395  0.125
In  0.980  0.855  0.625

Results
Offset from the most stable computed form: 0.053 eV/atom
Uncorrected formation energy: -0.45 eV/atom
Magnetic moment: 0.00 Bohr magnetons per cell
Final energy: -31.1895 eV/atom

---

Entry 23:
Compound: Ta2PbSe
Source: Alexandria
Functional: SCAN
Structure: single point on PBEsol structure

a = 4.200 Å, b = 4.200 Å, c = 5.279 Å
α = 113.44°, β = 113.44°, γ = 90.00°
Fractional positions:
Pb  0.500  0.500  0.000
Ta  0.750  0.250  0.500
Ta  0.000  0.000  0.000
Se  0.250  0.750  0.500

Results
Uncorrected formation energy: 0.61 eV/atom
Magnetic moment: 0.00 Bohr magnetons per cell
Final energy: -56.6452 eV/atom

---

Entry 24:
Compound: RbSr3Ca
Source: Alexandria
Functional: SCAN
Structure: single point on PBEsol structure

a = 7.044 Å, b = 7.044 Å, c = 7.044 Å
α = 90.00°, β = 90.00°, γ = 90.00°
Fractional positions:
Sr  0.500  0.000  0.000
Sr  0.000  0.000  0.500
Sr  0.000  0.500  0.000
Ca  0.000  0.000  0.000
Rb  0.500  0.500  0.500

Results
Calculated formation energy: 0.474 eV/atom
Magnetic moment: 1.59 Bohr magnetons per cell
Final energy: -18.9720 eV/atom

---

Entry 25:
Compound: Si3Pt
Source: Alexandria
Functional: SCAN
Structure: single point on PBEsol structure

a = 3.149 Å, b = 4.009 Å, c = 5.549 Å
α = 106.42°, β = 90.00°, γ = 113.13°
Fractional positions:
Si  0.245  0.491  0.776
Si  0.755  0.509  0.224
Si  0.500  0.000  0.500
Pt  0.000  0.000  0.000

Results
Uncorrected formation energy: 0.02 eV/atom
Magnetic moment: 0.00 Bohr magnetons per cell
Final energy: -25.0370 eV/atom

---

Entry 26:
Compound: ZrScCd2
Source: Alexandria
Functional: SCAN
Structure: single point on PBEsol structure

a = 4.909 Å, b = 4.909 Å, c = 4.909 Å
α = 60.00°, β = 60.00°, γ = 60.00°
Fractional positions:
Zr  0.500  0.500  0.500
Sc  0.000  0.000  0.000
Cd  0.250  0.250  0.250
Cd  0.750  0.750  0.750

Results
Calculated formation energy: -0.280 eV/atom
Offset from the most stable computed form: 0.009 eV/atom
Magnetic moment: 0.93 Bohr magnetons per cell
Final energy: -26.7208 eV/atom

---

Entry 27:
Compound: MgSbTe2H
Source: Alexandria
Functional: SCAN
Structure: single point on PBEsol structure

a = 5.344 Å, b = 5.415 Å, c = 5.415 Å
α = 90.00°, β = 90.00°, γ = 90.00°
Fractional positions:
Sb  0.500  0.000  0.000
Te  0.000  0.500  0.000
Te  0.000  0.000  0.500
Mg  0.000  0.000  0.000
H  0.500  0.500  0.500

Results
Magnetic moment: 1.71 Bohr magnetons per cell
Final energy: -23.2368 eV/atom

---

Entry 28:
Compound: MoIrPt
Source: Alexandria
Functional: SCAN
Structure: single point on PBEsol structure

a = 2.738 Å, b = 2.738 Å, c = 6.176 Å
α = 102.81°, β = 102.81°, γ = 90.00°
Fractional positions:
Mo  0.338  0.338  0.675
Ir  0.993  0.993  0.985
Pt  0.670  0.670  0.340

Results
Calculated formation energy: -0.326 eV/atom
Offset from the most stable computed form: 0.027 eV/atom
Magnetic moment: 0.00 Bohr magnetons per cell
Final energy: -59.0520 eV/atom